Compound: Tm6AgRu2
Source: Alexandria via LeMat-Bulk
Functional: PBE-GGA
Structure: relaxed

a = 8.318 Å, b = 8.318 Å, c = 8.318 Å
α = 113.08°, β = 112.03°, γ = 103.47°
Fractional coordinates of all 18 atoms:
Tm 0.042 0.242 0.801
Tm 0.181 0.283 0.463
Tm 0.181 0.717 0.898
Tm 0.331 0.017 0.686
Tm 0.331 0.645 0.314
Tm 0.441 0.242 0.199
Tm 0.559 0.758 0.801
Tm 0.669 0.355 0.686
Tm 0.669 0.983 0.314
Tm 0.819 0.283 0.102
Tm 0.819 0.717 0.537
Tm 0.958 0.758 0.199
Ag 0.000 0.000 0.000
Ag 0.500 0.500 0.000
Ru 0.129 0.629 0.500
Ru 0.323 0.000 0.323
Ru 0.677 0.000 0.677
Ru 0.871 0.371 0.500



Compound: Tm4AgRu2
Source: Alexandria via LeMat-Bulk
Functional: PBE-GGA
Structure: relaxed

a = 7.428 Å, b = 7.428 Å, c = 7.428 Å
α = 109.17°, β = 109.17°, γ = 110.07°
Fractional coordinates of all 14 atoms:
Tm 0.000 0.753 0.107
Tm 0.103 0.497 0.747
Tm 0.106 0.000 0.753
Tm 0.247 0.353 0.247
Tm 0.503 0.250 0.607
Tm 0.644 0.897 0.393
Tm 0.647 0.894 0.893
Tm 0.750 0.356 0.253
Ag 0.250 0.750 0.500
Ag 0.500 0.500 0.000
Ru 0.021 0.125 0.396
Ru 0.375 0.979 0.104
Ru 0.729 0.625 0.604
Ru 0.875 0.271 0.896

Computed properties:
Energy relative to the lowest polymorph listed for this composition: 0.50 eV/f.u.



Compound: Tm4AgRu
Source: Alexandria via LeMat-Bulk
Functional: PBE-GGA
Structure: relaxed

a = 9.406 Å, b = 9.406 Å, c = 9.406 Å
α = 60.00°, β = 60.00°, γ = 60.00°
Fractional coordinates of all 24 atoms:
Tm 0.048 0.651 0.651
Tm 0.061 0.061 0.439
Tm 0.061 0.439 0.061
Tm 0.061 0.439 0.439
Tm 0.189 0.189 0.811
Tm 0.189 0.811 0.189
Tm 0.189 0.811 0.811
Tm 0.439 0.061 0.061
Tm 0.439 0.061 0.439
Tm 0.439 0.439 0.061
Tm 0.651 0.048 0.651
Tm 0.651 0.651 0.048
Tm 0.651 0.651 0.651
Tm 0.811 0.189 0.189
Tm 0.811 0.189 0.811
Tm 0.811 0.811 0.189
Ag 0.418 0.418 0.418
Ag 0.418 0.418 0.747
Ag 0.418 0.747 0.418
Ag 0.747 0.418 0.418
Ru 0.423 0.859 0.859
Ru 0.859 0.423 0.859
Ru 0.859 0.859 0.423
Ru 0.859 0.859 0.859

Computed properties:
Energy relative to the lowest polymorph listed for this composition: 0.00 eV/f.u.



Compound: Tm4AgRu
Source: Alexandria via LeMat-Bulk
Functional: PBE-GGA
Structure: relaxed

a = 7.769 Å, b = 7.769 Å, c = 7.769 Å
α = 106.91°, β = 106.91°, γ = 114.73°
Fractional coordinates of all 12 atoms:
Tm 0.154 0.461 0.693
Tm 0.211 0.019 0.807
Tm 0.211 0.404 0.193
Tm 0.292 0.000 0.292
Tm 0.708 0.000 0.708
Tm 0.750 0.542 0.792
Tm 0.750 0.958 0.208
Tm 0.769 0.461 0.307
Ag 0.236 0.736 0.500
Ag 0.486 0.486 0.000
Ru 0.727 0.227 0.500
Ru 0.977 0.977 0.000

Computed properties:
Energy relative to the lowest polymorph listed for this composition: 1.44 eV/f.u.



Compound: Tm6AgRu
Source: Alexandria via LeMat-Bulk
Functional: PBE-GGA
Structure: relaxed

a = 9.119 Å, b = 9.119 Å, c = 9.119 Å
α = 148.49°, β = 148.49°, γ = 45.17°
Fractional coordinates of all 8 atoms:
Tm 0.099 0.599 0.500
Tm 0.247 0.247 0.000
Tm 0.401 0.901 0.500
Tm 0.599 0.099 0.500
Tm 0.753 0.753 0.000
Tm 0.901 0.401 0.500
Ag 0.500 0.500 0.000
Ru 0.000 0.000 0.000

Computed properties:
Energy relative to the lowest polymorph listed for this composition: 0.00 eV/f.u.



Compound: Tm4Ag3Ru
Source: Alexandria via LeMat-Bulk
Functional: PBE-GGA
Structure: relaxed

a = 3.475 Å, b = 3.475 Å, c = 14.551 Å
α = 90.00°, β = 90.00°, γ = 90.00°
Fractional coordinates of all 8 atoms:
Tm 0.000 0.000 0.111
Tm 0.000 0.000 0.372
Tm 0.000 0.000 0.628
Tm 0.000 0.000 0.889
Ag 0.500 0.500 0.245
Ag 0.500 0.500 0.500
Ag 0.500 0.500 0.755
Ru 0.500 0.500 0.000



Compound: Tm4AgRu2
Source: Alexandria via LeMat-Bulk
Functional: PBE-GGA
Structure: relaxed

a = 4.798 Å, b = 4.798 Å, c = 6.829 Å
α = 90.00°, β = 90.00°, γ = 90.00°
Fractional coordinates of all 7 atoms:
Tm 0.000 0.500 0.243
Tm 0.000 0.500 0.757
Tm 0.500 0.000 0.243
Tm 0.500 0.000 0.757
Ag 0.000 0.000 0.500
Ru 0.000 0.000 0.000
Ru 0.500 0.500 0.500

Computed properties:
Energy relative to the lowest polymorph listed for this composition: 0.00 eV/f.u.



Compound: Tm4AgRu3
Source: Alexandria via LeMat-Bulk
Functional: PBE-GGA
Structure: relaxed

a = 3.384 Å, b = 3.384 Å, c = 13.958 Å
α = 90.00°, β = 90.00°, γ = 90.00°
Fractional coordinates of all 8 atoms:
Tm 0.000 0.000 0.118
Tm 0.000 0.000 0.354
Tm 0.000 0.000 0.646
Tm 0.000 0.000 0.882
Ag 0.500 0.500 0.500
Ru 0.500 0.500 0.000
Ru 0.500 0.500 0.244
Ru 0.500 0.500 0.756



Compound: Tm6Ag5Ru
Source: Alexandria via LeMat-Bulk
Functional: PBE-GGA
Structure: relaxed

a = 7.935 Å, b = 7.935 Å, c = 7.106 Å
α = 90.00°, β = 90.00°, γ = 143.18°
Fractional coordinates of all 12 atoms:
Tm 0.000 0.000 0.235
Tm 0.000 0.000 0.765
Tm 0.341 0.659 0.242
Tm 0.341 0.659 0.758
Tm 0.659 0.341 0.242
Tm 0.659 0.341 0.758
Ag 0.167 0.833 0.500
Ag 0.171 0.829 0.000
Ag 0.500 0.500 0.500
Ag 0.829 0.171 0.000
Ag 0.833 0.167 0.500
Ru 0.500 0.500 0.000



Compound: Tm7Ag2Ru2
Source: Alexandria via LeMat-Bulk
Functional: PBE-GGA
Structure: relaxed

a = 6.588 Å, b = 6.588 Å, c = 6.976 Å
α = 90.00°, β = 90.00°, γ = 107.55°
Fractional coordinates of all 11 atoms:
Tm 0.000 0.000 0.000
Tm 0.000 0.500 0.256
Tm 0.000 0.500 0.744
Tm 0.500 0.000 0.256
Tm 0.500 0.000 0.744
Tm 0.500 0.500 0.245
Tm 0.500 0.500 0.755
Ag 0.180 0.180 0.500
Ag 0.820 0.820 0.500
Ru 0.293 0.707 0.000
Ru 0.707 0.293 0.000



Compound: Tm3Ag2Ru
Source: Alexandria via LeMat-Bulk
Functional: PBE-GGA
Structure: relaxed

a = 4.932 Å, b = 4.932 Å, c = 6.129 Å
α = 90.00°, β = 90.00°, γ = 120.00°
Fractional coordinates of all 6 atoms:
Tm 0.000 0.000 0.000
Tm 0.333 0.667 0.648
Tm 0.667 0.333 0.352
Ag 0.333 0.667 0.159
Ag 0.667 0.333 0.841
Ru 0.000 0.000 0.500



Compound: Tm6AgRu
Source: Alexandria via LeMat-Bulk
Functional: PBE-GGA
Structure: relaxed

a = 6.465 Å, b = 6.465 Å, c = 6.619 Å
α = 100.69°, β = 100.69°, γ = 116.70°
Fractional coordinates of all 8 atoms:
Tm 0.042 0.410 0.240
Tm 0.240 0.240 0.763
Tm 0.410 0.042 0.240
Tm 0.590 0.958 0.760
Tm 0.760 0.760 0.237
Tm 0.958 0.590 0.760
Ag 0.500 0.500 0.500
Ru 0.000 0.000 0.000

Computed properties:
Energy relative to the lowest polymorph listed for this composition: 0.89 eV/f.u.



Computed values of formation enthalpy at 0 K (unit: eV per atom) for the preceding records, in sequence: -0.354; -0.303; -0.339; -0.098; -0.164; -0.392; -0.375; -0.463; -0.369; -0.206; -0.375; -0.053.